Record 1
In2IrAu4 | GGA-PBE | optimized geometry

Lattice parameters (Å, degrees): 5.118 5.118 13.664 90.00 90.00 90.00
Space group I4/mmm (No. 139)
Symmetry-distinct sites (fractional):
In (0.000, 0.000, 0.117) [4 per cell]
Ir (0.000, 0.000, 0.500) [2 per cell]
Au (0.000, 0.000, 0.308) [4 per cell]
Au (0.000, 0.500, 0.000) [4 per cell]

Properties
- V: 25.6 Å³/atom
- Formation energy from the elements: 0.43 eV per atom
- Spin magnetization: 0.5 μB/f.u.
- Theoretical density: 11.23 g cm⁻³



Record 2
In2IrAu | GGA-PBE | optimized geometry

Lattice parameters (Å, degrees): 4.774 3.210 5.398 90.00 112.75 90.00
Space group P2/m (No. 10)
Symmetry-distinct sites (fractional):
In (0.000, 0.000, 0.000) [1 per cell]
In (0.000, 0.500, 0.500) [1 per cell]
Ir (0.500, 0.000, 0.500) [1 per cell]
Au (0.500, 0.500, 0.000) [1 per cell]

Properties
- V: 19.1 Å³/atom
- Formation energy from the elements: 0.09 eV per atom
- ΔE to the lowest computed polymorph: 127 meV/atom
- Spin magnetization: 0.0 μB/f.u.
- Theoretical density: 13.47 g cm⁻³



Record 3
In2Ir2Au | GGA-PBE | optimized geometry

Lattice parameters (Å, degrees): 7.582 7.582 3.187 90.00 90.00 90.00
Space group P4/mbm (No. 127)
Symmetry-distinct sites (fractional):
In (0.163, 0.337, 0.000) [4 per cell]
Ir (0.136, 0.636, 0.500) [4 per cell]
Au (0.000, 0.000, 0.500) [2 per cell]

Properties
- V: 18.3 Å³/atom
- Formation energy from the elements: 0.01 eV per atom
- ΔE to the lowest computed polymorph: 0 meV/atom
- Spin magnetization: 0.0 μB/f.u.
- Theoretical density: 14.70 g cm⁻³



Record 4
In2IrAu | GGA-PBE | optimized geometry

Lattice parameters (Å, degrees): 10.377 3.122 4.827 90.00 104.64 90.00
Space group Cm (No. 8)
Symmetry-distinct sites (fractional):
In (0.000, 0.000, 0.000) [2 per cell]
In (0.219, 0.000, 0.627) [2 per cell]
Ir (0.483, 0.000, 0.503) [2 per cell]
Au (0.256, 0.500, 0.152) [2 per cell]

Properties
- V: 18.9 Å³/atom
- Formation energy from the elements: -0.02 eV per atom
- ΔE to the lowest computed polymorph: 12 meV/atom
- Spin magnetization: 0.0 μB/f.u.
- Theoretical density: 13.58 g cm⁻³



Record 5
InIr2Au | GGA-PBE | optimized geometry

Lattice parameters (Å, degrees): 2.9154 2.9154 27.6262 90.00 90.00 120.00
Space group R3m (No. 160, hexagonal axes)
Symmetry-distinct sites (fractional):
In (0.0000, 0.0000, 0.0000) [3 per cell]
Ir (0.0000, 0.0000, 0.4919) [3 per cell]
Ir (0.0000, 0.0000, 0.7507) [3 per cell]
Au (0.0000, 0.0000, 0.2440) [3 per cell]

Properties
- V: 16.9 Å³/atom
- Formation energy from the elements: 0.27 eV per atom
- Spin magnetization: 0.0 μB/f.u.
- Theoretical density: 17.06 g cm⁻³



Record 6
InIr2Au | GGA-PBE | optimized geometry

Lattice parameters (Å, degrees): 2.912 4.869 9.502 90.00 90.00 90.00
Space group Immm (No. 71)
Symmetry-distinct sites (fractional):
In (0.000, 0.000, 0.000) [2 per cell]
Ir (0.000, 0.500, 0.256) [4 per cell]
Au (0.000, 0.000, 0.500) [2 per cell]

Properties
- V: 16.8 Å³/atom
- Formation energy from the elements: 0.23 eV per atom
- Spin magnetization: 0.0 μB/f.u.
- Theoretical density: 17.17 g cm⁻³



Record 7
InIrAu | GGA-PBE | optimized geometry

Lattice parameters (Å, degrees): 3.105 3.105 11.067 90.00 90.00 90.00
Space group I4mm (No. 107)
Symmetry-distinct sites (fractional):
In (0.000, 0.000, 0.000) [2 per cell]
Ir (0.000, 0.000, 0.348) [2 per cell]
Au (0.000, 0.000, 0.680) [2 per cell]

Properties
- V: 17.8 Å³/atom
- Formation energy from the elements: 0.14 eV per atom
- ΔE to the lowest computed polymorph: 0 meV/atom
- Spin magnetization: 0.0 μB/f.u.
- Theoretical density: 15.69 g cm⁻³



Record 8
InIr2Au | GGA-PBE | optimized geometry

Lattice parameters (Å, degrees): 4.106 4.106 7.943 90.00 90.00 90.00
Space group I-4m2 (No. 119)
Symmetry-distinct sites (fractional):
In (0.000, 0.000, 0.000) [2 per cell]
Ir (0.000, 0.000, 0.500) [2 per cell]
Ir (0.000, 0.500, 0.750) [2 per cell]
Au (0.000, 0.500, 0.250) [2 per cell]

Properties
- V: 16.7 Å³/atom
- Formation energy from the elements: 0.25 eV per atom
- Spin magnetization: 0.5 μB/f.u.
- Theoretical density: 17.26 g cm⁻³